CePt2Br8 PBE-GGA relaxed; E_form (uncorrected) = -0.60 eV/atom; total DFT energy (no corrections) = -3.455 eV per atom; calculated density = 5.016 g/cm³
1.0
-3.5440 1.7496 3.8079
-6.6661 -3.3972 -4.1789
-0.9884 -7.8989 3.1736
Ce Pt Br
1 2 8
Direct
0.0000 0.0000 0.0000
0.2566 0.2080 0.2080
0.7434 0.7920 0.7920
0.7437 0.1012 0.7112
0.2563 0.2888 0.8988
0.7554 0.1996 0.1996
0.2446 0.8004 0.8004
0.7437 0.7112 0.1012
0.2563 0.8988 0.2888
0.2522 0.3848 0.3848
0.7478 0.6152 0.6152

Pu2GeS PBE-GGA relaxed; E_form (uncorrected) = -1.05 eV/atom; total DFT energy (no corrections) = -10.399 eV per atom; calculated density = 10.617 g/cm³; energy relative to the lowest polymorph listed for this composition = 0.0000 eV/atom
1.0
-3.0209 -2.5383 0.6052
-0.9264 0.1300 -4.0791
7.2892 -8.6233 0.2166
Pu Ge S
4 2 2
Direct
0.7500 0.6845 0.3690
0.2500 0.3155 0.6310
0.7500 0.9325 0.8651
0.2500 0.0675 0.1349
0.2500 0.4601 0.9201
0.7500 0.5399 0.0799
0.2500 0.1911 0.3821
0.7500 0.8089 0.6179

PrNd8Y4 PBE-GGA relaxed; total DFT energy (no corrections) = -5.276 eV per atom; calculated density = 6.125 g/cm³; ΔE_f = 0.2 eV/f.u.
1.0
-3.5962 1.2665 5.0531
5.4420 -5.4856 2.6112
6.4611 7.0884 -1.1283
Pr Nd Y
1 8 4
Direct
0.2307 0.6539 0.4999
0.3829 0.9616 0.2663
0.4639 0.1167 0.6562
0.6136 0.4228 0.4211
0.0788 0.3461 0.7337
0.6934 0.5778 0.8098
0.8479 0.8849 0.5790
0.9979 0.1910 0.3439
0.7679 0.7299 0.1901
0.9233 0.0390 0.9622
0.1521 0.4978 0.1130
0.5383 0.2686 0.0379
0.3094 0.8099 0.8869

Zr10HgBi6 PBE-GGA relaxed; total DFT energy (no corrections) = -6.759 eV per atom; calculated density = 9.729 g/cm³; ΔE_f = -5.8 eV/f.u.
1.0
6.0229 0.0000 0.0000
0.0000 7.6211 -4.4001
0.0000 0.0000 8.8001
Zr Hg Bi
10 1 6
Direct
0.7773 0.7341 0.7341
0.7773 0.0000 0.2659
0.7773 0.2659 0.0000
0.2227 0.2659 0.2659
0.2227 0.0000 0.7341
0.2227 0.7341 0.0000
0.5000 0.3333 0.6667
0.5000 0.6667 0.3333
0.0000 0.6667 0.3333
0.0000 0.3333 0.6667
0.5000 0.0000 0.0000
0.7398 0.3841 0.3841
0.7398 0.0000 0.6159
0.7398 0.6159 0.0000
0.2602 0.6159 0.6159
0.2602 0.0000 0.3841
0.2602 0.3841 0.0000

Ac2CdSi PBE-GGA relaxed; E_form (uncorrected) = -0.38 eV/atom; total DFT energy (no corrections) = -4.022 eV per atom; calculated density = 7.722 g/cm³
1.0
-3.9252 -1.6529 -1.2446
0.7020 -4.8746 4.2600
-4.4031 7.5505 3.8585
Ac Cd Si
4 2 2
Direct
0.7500 0.2073 0.4291
0.2500 0.7927 0.5709
0.2500 0.7779 0.0736
0.7500 0.2221 0.9264
0.2500 0.3719 0.2191
0.7500 0.6281 0.7809
0.7500 0.6599 0.2923
0.2500 0.3401 0.7077

LiFe2Re PBE-GGA relaxed; total DFT energy (no corrections) = -7.432 eV per atom; calculated density = 10.318 g/cm³; energy relative to the lowest polymorph listed for this composition = 0.2434 eV/atom; ΔE_f = 1.6 eV/f.u.
1.0
-0.9540 0.4617 -2.5275
2.6510 -2.9213 -1.5343
-2.9500 -2.9762 0.5698
Fe Li Re
2 1 1
Direct
0.0000 0.0000 0.0000
0.5000 0.5000 0.0000
0.5000 0.0000 0.5000
0.0000 0.5000 0.5000

Mg2CuSe PBE-GGA relaxed; E_form (uncorrected) = -0.05 eV/atom; total DFT energy (no corrections) = -2.745 eV per atom; calculated density = 4.013 g/cm³
1.0
-5.3771 5.8630 4.1104
-2.2840 8.6495 -0.3919
1.5810 -7.9394 -3.8274
Mg Cu Se
4 2 2
Direct
0.5000 0.0000 0.5000
0.0000 0.5000 0.5000
0.6461 0.6461 0.0000
0.3539 0.3539 0.0000
0.9002 0.9002 0.0000
0.0998 0.0998 0.0000
0.2500 0.7500 0.5000
0.7500 0.2500 0.5000

Ti2Be2Co5B PBE-GGA relaxed; total DFT energy (no corrections) = -6.861 eV per atom; calculated density = 6.844 g/cm³; ΔE_f = -3.2 eV/f.u.
1.0
-1.4415 -1.1707 2.0777
-4.2355 -4.8111 -5.6496
5.9606 -6.0805 0.7093
Ti Be Co B
4 4 10 2
Direct
0.0000 0.6728 0.1728
0.0000 0.3272 0.8272
0.0000 0.1728 0.3272
0.0000 0.8272 0.6728
0.0000 0.1277 0.6277
0.0000 0.8723 0.3723
0.0000 0.6277 0.8723
0.0000 0.3723 0.1277
0.5000 0.1945 0.0612
0.5000 0.8055 0.9388
0.5000 0.0612 0.8055
0.5000 0.6945 0.4388
0.5000 0.9388 0.1945
0.5000 0.3055 0.5612
0.5000 0.5612 0.6945
0.5000 0.4388 0.3055
0.5000 0.5000 0.0000
0.5000 0.0000 0.5000
0.0000 0.0000 0.0000
0.0000 0.5000 0.5000